(1)
8
Lattice="8.676 0.000 0.000 0.000 8.676 0.000 4.338 4.338 6.122" Properties=species:S:1:pos:R:3 comment="HgPI2 (GGA-PBE, relaxed)" final_energy_ev_per_atom=-1.995 m_tot_mub_per_fu=0.00 relative_energy_mev_per_atom=0 e_form_raw_mev_per_atom=208 sg=I-42d pbc="T T T"
I 4.333 2.169 1.531
I 4.343 6.507 1.531
I 6.507 8.681 4.592
I 10.845 8.671 4.592
P 4.338 4.338 0.000
P 4.338 8.676 3.061
Hg 0.000 0.000 0.000
Hg 8.676 4.338 3.061


(2)
4
Lattice="4.182 0.000 0.000 2.091 3.622 0.000 2.091 1.207 8.280" Properties=species:S:1:pos:R:3 comment="Hg2PI (GGA-PBE, relaxed)" final_energy_ev_per_atom=-1.706 m_tot_mub_per_fu=0.00 relative_energy_mev_per_atom=294 e_form_raw_mev_per_atom=184 sg=R-3m pbc="T T T"
I 0.000 0.000 0.000
P 4.182 2.415 4.140
Hg 2.091 1.207 5.428
Hg 6.274 3.622 2.852


(3)
8
Lattice="-1.126 -2.295 5.017 -5.977 -2.945 -2.545 1.527 -7.854 -2.623" Properties=species:S:1:pos:R:3 comment="Hg2PI (GGA-PBE, relaxed)" final_energy_ev_per_atom=-1.939 m_tot_mub_per_fu=0.00 relative_energy_mev_per_atom=61 e_form_raw_mev_per_atom=-48 sg=P-1 pbc="T T T"
Hg -1.176 -4.061 -1.178
Hg -4.400 -9.033 1.026
Hg -6.113 -5.160 -0.724
Hg 0.537 -7.934 0.571
P -0.170 -5.885 1.840
P -5.406 -7.209 -1.993
I -0.973 -7.298 -2.584
I -4.603 -5.796 2.432


(4)
80
Lattice="12.669 0.000 0.000 0.000 13.375 0.008 0.000 8.743 15.317" Properties=species:S:1:pos:R:3 comment="Hg9P5I6 (GGA-PBE, relaxed)" final_energy_ev_per_atom=-2.100 m_tot_mub_per_fu=0.00 e_form_raw_mev_per_atom=-147 sg=P2_1/c pbc="T T T"
Hg 11.367 12.471 4.030
Hg 2.277 11.076 4.189
Hg 6.008 11.735 6.580
Hg 1.255 4.202 4.406
Hg 6.661 10.383 8.744
Hg 5.609 9.162 3.017
Hg 9.192 15.189 8.281
Hg 8.687 7.400 10.505
Hg 5.079 8.573 12.065
Hg 1.301 9.648 11.295
Hg 2.156 16.596 8.414
Hg 11.414 17.917 10.919
Hg 10.513 5.522 6.911
Hg 0.326 16.107 14.239
Hg 9.811 10.818 0.623
Hg 3.981 14.718 4.820
Hg 2.353 19.090 12.478
Hg 8.490 9.893 14.569
Hg 7.589 13.545 3.260
Hg 7.636 16.842 11.689
Hg 0.725 13.533 10.676
Hg 4.179 12.225 0.755
Hg 12.342 6.011 1.086
Hg 6.334 4.371 7.658
Hg 8.612 6.671 3.478
Hg 3.477 6.929 7.044
Hg 7.059 12.957 12.308
Hg 5.033 5.276 3.636
Hg 10.316 3.028 2.846
Hg 2.857 11.300 14.702
Hg 10.391 11.043 11.136
Hg 4.057 15.447 11.847
Hg 0.000 0.000 0.000
Hg 11.944 8.585 4.649
Hg 6.334 6.688 0.004
Hg 0.000 11.059 7.662
P 0.075 10.832 5.231
P 12.593 11.286 10.093
P 1.856 15.725 10.773
P 10.812 6.393 4.552
P 3.891 4.465 7.066
P 8.190 10.764 12.210
P 6.259 15.204 12.890
P 2.444 8.837 14.725
P 3.615 3.796 5.004
P 0.815 17.181 12.032
P 6.410 6.914 2.435
P 2.719 8.167 12.662
P 11.854 4.937 3.293
P 8.778 17.653 8.258
P 4.478 11.354 3.114
P 10.225 13.282 0.600
P 9.053 18.322 10.321
P 5.519 12.810 4.374
P 9.950 13.951 2.663
P 7.149 9.309 10.951
I 10.278 14.534 11.078
I 6.453 7.493 6.173
I 2.391 7.585 4.247
I 9.524 12.807 6.945
I 0.119 10.254 1.494
I 3.943 11.956 11.906
I 8.725 10.162 3.419
I 0.279 6.116 8.602
I 3.190 4.940 0.721
I 11.214 7.688 12.351
I 3.545 17.713 14.934
I 6.056 1.745 0.943
I 2.789 13.342 7.275
I 4.880 18.801 10.632
I 1.455 14.430 2.974
I 9.479 17.178 14.604
I 7.789 3.317 4.692
I 3.144 9.312 8.380
I 12.390 16.002 6.723
I 9.879 8.777 8.050
I 12.550 11.864 13.831
I 6.613 20.373 14.381
I 6.215 14.625 9.152
I 9.124 4.405 0.391